Compound: Ca2ScBRu
Source: Alexandria
Functional: PBE
Structure: optimized geometry

Computed properties:
Its space group is P4/mmm. The value obtained for the formation energy is 144 kJ/mol of atoms. The calculation puts the raw total energy at -3.7675 eV per atom. Its offset from the most stable computed form is 926 meV/atom.

Structure (POSCAR):
```
Ca2ScBRu
1.0
-1.528 4.915 3.005
1.860 -1.629 3.610
5.174 2.538 -1.520
Sc Ru Ca B
1 1 2 1
Direct
0.000 0.000 0.000
0.000 0.500 0.000
0.000 0.000 0.500
0.500 0.000 0.000
0.500 0.500 0.500
```



Compound: BiPIO2
Source: Alexandria
Functional: PBE
Structure: optimized geometry

Computed properties:
Its space group is P4/mmm. The calculation puts the raw total energy at -4.1469 eV per atom. Its offset from the most stable computed form is 0 meV/atom. Its energy relative to the elements, uncorrected is 0.0046 eV/atom.

Structure (POSCAR):
```
BiPIO2
1.0
4.174 0.000 0.000
0.000 4.174 0.000
0.000 0.000 6.008
I P Bi O
1 1 1 2
Direct
0.500 0.500 0.500
0.000 0.000 0.500
0.000 0.000 0.000
0.000 0.500 0.000
0.500 0.000 0.000
```



| no. | total moment (μB/atom) | theoretical density (g/cm³) |
| --- | --- | --- |
| 1 | 0.00 | 2.5 |
| 2 | 0.00 | 6.3 |